Entry 1:
Material: Na2RhI
Method: DFT, PBE
State: relaxed

a b c (Å): 11.054 11.054 5.039
angles (deg): 90.00 90.00 90.00
Fractional positions:
Na  0.012  0.250  0.125
Na  0.250  0.512  0.375
Na  0.250  0.988  0.875
Na  0.488  0.250  0.625
Na  0.512  0.750  0.625
Na  0.750  0.012  0.875
Na  0.750  0.488  0.375
Na  0.988  0.750  0.125
Rh  0.000  0.000  0.000
Rh  0.000  0.500  0.250
Rh  0.500  0.000  0.750
Rh  0.500  0.500  0.500
I  0.000  0.000  0.500
I  0.000  0.500  0.750
I  0.500  0.000  0.250
I  0.500  0.500  0.000

Its total magnetization is 0.000 μB per formula unit. Its formation energy from raw total energies is -59 meV/atom. The value obtained for the energy relative to the lowest polymorph listed for this composition is 0.00 eV per formula unit. The calculated volume is 615.7 Å³ per cell.

***

Entry 2:
Material: NdFeSb3
Method: DFT, PBE
State: relaxed

a b c (Å): 12.789 6.181 12.154
angles (deg): 90.00 90.00 90.00
Fractional positions:
Nd  0.195  0.223  0.250
Nd  0.195  0.277  0.750
Nd  0.201  0.750  0.000
Nd  0.201  0.750  0.500
Nd  0.799  0.250  0.000
Nd  0.799  0.250  0.500
Nd  0.805  0.723  0.250
Nd  0.805  0.777  0.750
Fe  0.400  0.036  0.638
Fe  0.400  0.036  0.862
Fe  0.400  0.464  0.138
Fe  0.400  0.464  0.362
Fe  0.600  0.536  0.638
Fe  0.600  0.536  0.862
Fe  0.600  0.964  0.138
Fe  0.600  0.964  0.362
Sb  0.002  0.014  0.624
Sb  0.002  0.014  0.876
Sb  0.002  0.486  0.124
Sb  0.002  0.486  0.376
Sb  0.284  0.250  0.000
Sb  0.284  0.250  0.500
Sb  0.287  0.733  0.250
Sb  0.287  0.767  0.750
Sb  0.443  0.115  0.250
Sb  0.443  0.385  0.750
Sb  0.472  0.750  0.000
Sb  0.472  0.750  0.500
Sb  0.528  0.250  0.000
Sb  0.528  0.250  0.500
Sb  0.557  0.615  0.250
Sb  0.557  0.885  0.750
Sb  0.713  0.233  0.250
Sb  0.713  0.267  0.750
Sb  0.716  0.750  0.000
Sb  0.716  0.750  0.500
Sb  0.998  0.514  0.624
Sb  0.998  0.514  0.876
Sb  0.998  0.986  0.124
Sb  0.998  0.986  0.376

Its total magnetization is 0.416 μB per formula unit. Its formation energy from raw total energies is -492 meV/atom. The calculated volume is 960.8 Å³ per cell.

***

Entry 3:
Material: Ce2Sb2Pd7Pt
Method: DFT, PBE
State: relaxed

a b c (Å): 3.876 3.876 16.111
angles (deg): 93.55 93.55 88.95
Fractional positions:
Ce  0.068  0.068  0.257
Ce  0.932  0.932  0.743
Sb  0.360  0.360  0.613
Sb  0.640  0.640  0.387
Pd  0.000  0.000  0.000
Pd  0.033  0.533  0.131
Pd  0.200  0.200  0.450
Pd  0.467  0.967  0.869
Pd  0.533  0.033  0.131
Pd  0.800  0.800  0.550
Pd  0.967  0.467  0.869
Pt  0.500  0.500  0.000

Its total magnetization is 1.029 μB per formula unit. Its formation energy from raw total energies is -399 meV/atom. The calculated volume is 241.1 Å³ per cell.

***

Entry 4:
Material: Li2FeCu
Method: DFT, PBE
State: relaxed

a b c (Å): 2.486 2.486 8.169
angles (deg): 90.00 90.00 90.00
Fractional positions:
Li  0.000  0.000  0.245
Li  0.000  0.000  0.755
Fe  0.500  0.500  0.500
Cu  0.500  0.500  0.000

Its total magnetization is 2.219 μB per formula unit. The value obtained for the formation energy is 0.169 eV per atom. The calculated volume is 50.5 Å³ per cell.